(1)
VASP calculation (GGA-PBE) on an optimized crystal structure of Sm4Y5Tm4.

Cell and atoms, written as POSCAR:
```
Sm4Y5Tm4
1.0
-1.101 -4.892 -0.415
2.953 -2.522 -8.595
7.598 -4.571 3.216
Sm Y Tm
4 5 4
direct
0.923 0.460 0.694
0.617 0.306 0.460
0.077 0.540 0.306
0.383 0.694 0.540
0.692 0.848 0.769
0.308 0.152 0.231
0.000 0.000 0.000
0.539 0.769 0.152
0.461 0.231 0.848
0.769 0.385 0.077
0.231 0.615 0.923
0.846 0.923 0.385
0.154 0.077 0.615
```

Computed properties:
SG: I4/m
E: -5.29 eV/atom


(2)
VASP calculation (GGA-PBE) on an optimized crystal structure of Nd2Er2Ga3.

Cell and atoms, written as POSCAR:
```
Nd2Er2Ga3
1.0
0.205 -2.260 2.931
8.171 -0.134 -0.680
0.260 3.407 4.897
Nd Er Ga
2 2 3
direct
0.707 0.835 0.588
0.293 0.165 0.412
0.563 0.305 0.884
0.437 0.695 0.116
0.000 0.000 0.000
0.831 0.461 0.334
0.169 0.539 0.666
```

Computed properties:
SG: P-1
E: -4.38 eV/atom


(3)
VASP calculation (GGA-PBE) on an optimized crystal structure of Re2AuBr.

Cell and atoms, written as POSCAR:
```
Re2AuBr
1.0
-2.286 0.611 1.573
1.897 -2.574 3.757
2.228 4.062 1.659
Re Au Br
2 1 1
direct
0.000 0.000 0.000
0.500 0.500 0.000
0.500 0.000 0.500
0.000 0.500 0.500
```

Computed properties:
SG: Pmmm
Formation energy (no corrections): 1.29 eV per atom


(4)
VASP calculation (GGA-PBE) on an optimized crystal structure of GdHg2.

Cell and atoms, written as POSCAR:
```
GdHg2
1.0
-4.811 1.583 -3.171
-5.219 -2.765 0.907
-4.500 2.906 2.648
Gd Hg
2 4
direct
0.000 0.000 0.000
0.250 0.250 0.250
0.125 0.625 0.625
0.625 0.125 0.625
0.625 0.625 0.625
0.625 0.625 0.125
```

Computed properties:
SG: Fd-3m
E: -5.14 eV/atom


(5)
VASP calculation (GGA-PBE) on an optimized crystal structure of BaLa3Rh.

Cell and atoms, written as POSCAR:
```
BaLa3Rh
1.0
5.768 0.000 0.000
0.000 5.768 0.000
0.000 0.000 5.768
Rh Ba La
1 1 3
direct
0.500 0.500 0.500
0.000 0.000 0.000
0.000 0.500 0.000
0.000 0.000 0.500
0.500 0.000 0.000
```

Computed properties:
SG: Pm-3m
E: -3.60 eV/atom


(6)
VASP calculation (GGA-PBE) on an optimized crystal structure of Cu2HgTe.

Cell and atoms, written as POSCAR:
```
Cu2HgTe
1.0
3.867 0.000 0.000
0.000 3.177 -0.014
0.000 0.026 6.435
Cu Hg Te
2 1 1
direct
0.000 0.750 0.053
0.000 0.750 0.447
0.500 0.250 0.250
0.500 0.750 0.750
```

Computed properties:
SG: Pmmm
Formation energy (no corrections): 0.15 eV per atom


(7)
VASP calculation (GGA-PBE) on an optimized crystal structure of PrTm12Co6.

Cell and atoms, written as POSCAR:
```
PrTm12Co6
1.0
7.883 0.000 -2.787
-3.942 6.827 -2.787
0.000 0.000 8.362
Pr Tm Co
1 12 6
direct
0.000 0.000 0.000
0.309 0.116 0.807
0.309 0.503 0.193
0.691 0.497 0.807
0.691 0.884 0.193
0.116 0.807 0.309
0.503 0.193 0.309
0.497 0.807 0.691
0.884 0.193 0.691
0.807 0.309 0.116
0.193 0.309 0.503
0.807 0.691 0.497
0.193 0.691 0.884
0.386 0.500 0.886
0.614 0.500 0.114
0.500 0.886 0.386
0.500 0.114 0.614
0.886 0.386 0.500
0.114 0.614 0.500
```

Computed properties:
SG: Im-3
E: -5.48 eV/atom


(8)
VASP calculation (GGA-PBE) on an optimized crystal structure of CaTe2Rh.

Cell and atoms, written as POSCAR:
```
CaTe2Rh
1.0
1.412 -4.613 -1.687
-3.113 -2.668 -3.052
1.201 -0.664 -4.923
Ca Te Rh
1 2 1
direct
0.000 0.000 0.000
0.250 0.250 0.250
0.750 0.750 0.750
0.500 0.500 0.500
```

Computed properties:
SG: Fm-3m
Formation energy (no corrections): -0.37 eV per atom


(9)
VASP calculation (GGA-PBE) on an optimized crystal structure of CoTc2W.

Cell and atoms, written as POSCAR:
```
CoTc2W
1.0
4.229 0.000 0.000
0.000 2.682 -0.007
0.000 1.134 4.986
Co Tc W
1 2 1
direct
0.500 0.599 0.751
0.000 0.003 0.989
0.500 0.311 0.253
0.000 0.587 0.506
```

Computed properties:
SG: Pm
E: -10.07 eV/atom


(10)
VASP calculation (GGA-PBE) on an optimized crystal structure of Er2InTe6Pb3.

Cell and atoms, written as POSCAR:
```
Er2InTe6Pb3
1.0
4.442 0.000 0.000
0.000 9.479 0.426
-2.221 -2.623 9.523
Er In Te Pb
2 1 6 3
direct
0.832 0.663 0.664
0.168 0.337 0.336
0.500 0.000 0.000
0.327 0.888 0.653
0.670 0.569 0.341
0.673 0.112 0.347
0.011 0.259 0.022
0.989 0.741 0.978
0.330 0.431 0.659
0.500 0.500 0.000
0.840 0.162 0.680
0.160 0.838 0.320
```

Computed properties:
SG: C2/m
Formation energy (no corrections): -0.68 eV per atom


(11)
VASP calculation (GGA-PBE) on an optimized crystal structure of HfIr2O2.

Cell and atoms, written as POSCAR:
```
HfIr2O2
1.0
5.574 0.000 0.000
0.000 5.574 0.000
0.000 0.000 4.265
Ir Hf O
4 2 4
direct
0.168 0.668 0.500
0.668 0.832 0.500
0.832 0.332 0.500
0.332 0.168 0.500
0.000 0.000 0.000
0.500 0.500 0.000
0.177 0.677 0.000
0.677 0.823 0.000
0.823 0.323 0.000
0.323 0.177 0.000
```

Computed properties:
SG: P4/mbm
Formation energy (no corrections): -1.22 eV per atom


(12)
VASP calculation (GGA-PBE) on an optimized crystal structure of SrLi2Al.

Cell and atoms, written as POSCAR:
```
SrLi2Al
1.0
4.892 0.000 0.000
0.000 4.892 0.000
2.446 2.446 9.793
Sr Al Li
2 2 4
direct
0.000 0.000 0.000
0.750 0.250 0.500
0.500 0.500 0.000
0.250 0.750 0.500
0.440 0.125 0.250
0.310 0.625 0.250
0.375 0.560 0.750
0.875 0.690 0.750
```

Computed properties:
SG: I-42d
E: -2.19 eV/atom